w | Tl4Co5 after structural relaxation. Source: Alexandria via LeMat-Bulk, functional PBE.

- total magnetization (μB/atom) = 0.86
- D(E_F) (states/eV/f.u.) = 12.17

Structure (CIF):
```
data_Tl4Co5
_cell_length_a 9.013
_cell_length_b 9.013
_cell_length_c 4.052
_cell_angle_alpha 90.00
_cell_angle_beta 90.00
_cell_angle_gamma 90.00
_space_group_name_H-M_alt 'I 4/m m m'
_space_group_IT_number 139
_space_group_name_Hall '-I 4 2'
loop_
_atom_site_label
_atom_site_type_symbol
_atom_site_fract_x
_atom_site_fract_y
_atom_site_fract_z
_atom_site_occupancy
Tl1 Tl 0.000 0.302 0.000 1
Co1 Co 0.000 0.000 0.000 1
Co2 Co 0.129 0.129 0.500 1
```



x | Tl4Co5 after structural relaxation. Source: Alexandria via LeMat-Bulk, functional PBE.

- total magnetization (μB/atom) = 0.66
- D(E_F) (states/eV/f.u.) = 15.54

Structure (CIF):
```
data_Tl4Co5
_cell_length_a 7.8953
_cell_length_b 7.8953
_cell_length_c 5.4992
_cell_angle_alpha 90.00
_cell_angle_beta 90.00
_cell_angle_gamma 120.00
_space_group_name_H-M_alt 'P 63/m c m'
_space_group_IT_number 193
_space_group_name_Hall '-P 6c 2'
loop_
_atom_site_label
_atom_site_type_symbol
_atom_site_fract_x
_atom_site_fract_y
_atom_site_fract_z
_atom_site_occupancy
Tl1 Tl 0.0000 0.0000 0.0000 1
Tl2 Tl 0.0000 0.3750 0.2500 1
Co1 Co 0.0000 0.2987 0.7500 1
Co2 Co 0.3333 0.6667 0.0000 1
```



Which is the most stable structure? w is the most stable.



w | Tl3Co2 after structural relaxation. Source: Alexandria via LeMat-Bulk, functional PBE.

- total magnetization (μB/atom) = 0.39
- D(E_F) (states/eV/f.u.) = 8.54

Structure (CIF):
```
data_Tl3Co2
_cell_length_a 4.6020
_cell_length_b 4.6020
_cell_length_c 5.4766
_cell_angle_alpha 90.00
_cell_angle_beta 90.00
_cell_angle_gamma 120.00
_space_group_name_H-M_alt 'P -3 m 1'
_space_group_IT_number 164
_space_group_name_Hall '-P 3 2"'
loop_
_atom_site_label
_atom_site_type_symbol
_atom_site_fract_x
_atom_site_fract_y
_atom_site_fract_z
_atom_site_occupancy
Tl1 Tl 0.0000 0.0000 0.0000 1
Tl2 Tl 0.3333 0.6667 0.3676 1
Co1 Co 0.3333 0.6667 0.8838 1
```



x | Tl3Co2 after structural relaxation. Source: Alexandria via LeMat-Bulk, functional PBE.

- total magnetization (μB/atom) = 0.34
- D(E_F) (states/eV/f.u.) = 5.89

Structure (CIF):
```
data_Tl3Co2
_cell_length_a 3.2869
_cell_length_b 3.2869
_cell_length_c 32.1374
_cell_angle_alpha 90.00
_cell_angle_beta 90.00
_cell_angle_gamma 120.00
_space_group_name_H-M_alt 'R -3 m'
_space_group_IT_number 166
_space_group_name_Hall '-R 3 2"'
loop_
_atom_site_label
_atom_site_type_symbol
_atom_site_fract_x
_atom_site_fract_y
_atom_site_fract_z
_atom_site_occupancy
Tl1 Tl 0.0000 0.0000 0.0000 1
Tl2 Tl 0.0000 0.0000 0.2110 1
Co1 Co 0.0000 0.0000 0.3936 1
```



Which is the most stable structure? w is the most stable.



w | Tm5Tl2Co after structural relaxation. Source: Alexandria via LeMat-Bulk, functional PBE.

- total magnetization (μB/atom) = 0.00
- D(E_F) (states/eV/f.u.) = 7.49

Structure (CIF):
```
data_Tm5Tl2Co
_cell_length_a 7.946
_cell_length_b 11.624
_cell_length_c 4.514
_cell_angle_alpha 90.00
_cell_angle_beta 90.00
_cell_angle_gamma 90.00
_space_group_name_H-M_alt 'P b a m'
_space_group_IT_number 55
_space_group_name_Hall '-P 2 2ab'
loop_
_atom_site_label
_atom_site_type_symbol
_atom_site_fract_x
_atom_site_fract_y
_atom_site_fract_z
_atom_site_occupancy
Tm1 Tm 0.000 0.000 0.000 1
Tm2 Tm 0.143 0.304 0.000 1
Tm3 Tm 0.180 0.567 0.500 1
Tl1 Tl 0.066 0.829 0.500 1
Co1 Co 0.000 0.500 0.000 1
```



x | Tm5Tl2Co after structural relaxation. Source: Alexandria via LeMat-Bulk, functional PBE.

- total magnetization (μB/atom) = 0.00
- D(E_F) (states/eV/f.u.) = 6.88

Structure (CIF):
```
data_Tm5Tl2Co
_cell_length_a 5.104
_cell_length_b 16.640
_cell_length_c 12.297
_cell_angle_alpha 90.00
_cell_angle_beta 90.00
_cell_angle_gamma 90.00
_space_group_name_H-M_alt 'C m c m'
_space_group_IT_number 63
_space_group_name_Hall '-C 2c 2'
loop_
_atom_site_label
_atom_site_type_symbol
_atom_site_fract_x
_atom_site_fract_y
_atom_site_fract_z
_atom_site_occupancy
Tm1 Tm 0.000 0.082 0.106 1
Tm2 Tm 0.000 0.290 0.750 1
Tm3 Tm 0.000 0.295 0.084 1
Tl1 Tl 0.000 0.104 0.633 1
Co1 Co 0.000 0.192 0.250 1
```



Which is the most stable structure? w is the most stable.



w | Tm3TlCo after structural relaxation. Source: Alexandria via LeMat-Bulk, functional PBE.

- total magnetization (μB/atom) = 0.00
- D(E_F) (states/eV/f.u.) = 4.22

Structure (CIF):
```
data_Tm3TlCo
_cell_length_a 15.714
_cell_length_b 3.708
_cell_length_c 10.555
_cell_angle_alpha 90.00
_cell_angle_beta 125.64
_cell_angle_gamma 90.00
_space_group_name_H-M_alt 'C 1 2/m 1'
_space_group_IT_number 12
_space_group_name_Hall '-C 2y'
loop_
_atom_site_label
_atom_site_type_symbol
_atom_site_fract_x
_atom_site_fract_y
_atom_site_fract_z
_atom_site_occupancy
Tm1 Tm 0.083 0.000 0.449 1
Tm2 Tm 0.141 0.500 0.221 1
Tm3 Tm 0.169 0.500 0.777 1
Tl1 Tl 0.082 0.000 0.927 1
Co1 Co 0.236 0.500 0.555 1
```



x | Tm3TlCo after structural relaxation. Source: Alexandria via LeMat-Bulk, functional PBE.

- total magnetization (μB/atom) = 0.00
- D(E_F) (states/eV/f.u.) = 3.79

Structure (CIF):
```
data_Tm3TlCo
_cell_length_a 11.785
_cell_length_b 5.275
_cell_length_c 8.894
_cell_angle_alpha 90.00
_cell_angle_beta 113.50
_cell_angle_gamma 90.00
_space_group_name_H-M_alt 'C 1 2/m 1'
_space_group_IT_number 12
_space_group_name_Hall '-C 2y'
loop_
_atom_site_label
_atom_site_type_symbol
_atom_site_fract_x
_atom_site_fract_y
_atom_site_fract_z
_atom_site_occupancy
Tm1 Tm 0.104 0.000 0.214 1
Tm2 Tm 0.116 0.500 0.911 1
Tm3 Tm 0.157 0.000 0.668 1
Tl1 Tl 0.115 0.500 0.451 1
Co1 Co 0.141 0.000 0.946 1
```



Which is the most stable structure? w is the most stable.



w | TlVCo2 after structural relaxation. Source: Alexandria via LeMat-Bulk, functional PBE.

- total magnetization (μB/atom) = 0.00
- D(E_F) (states/eV/f.u.) = 2.60

Structure (CIF):
```
data_TlVCo2
_cell_length_a 6.696
_cell_length_b 6.696
_cell_length_c 5.493
_cell_angle_alpha 90.00
_cell_angle_beta 90.00
_cell_angle_gamma 90.00
_space_group_name_H-M_alt 'I -4 2 d'
_space_group_IT_number 122
_space_group_name_Hall 'I -4 2bw'
loop_
_atom_site_label
_atom_site_type_symbol
_atom_site_fract_x
_atom_site_fract_y
_atom_site_fract_z
_atom_site_occupancy
Tl1 Tl 0.000 0.000 0.000 1
V1 V 0.000 0.000 0.500 1
Co1 Co 0.192 0.250 0.625 1
```



x | TlVCo2 after structural relaxation. Source: Alexandria via LeMat-Bulk, functional PBE.

- total magnetization (μB/atom) = 0.51
- D(E_F) (states/eV/f.u.) = 1.92

Structure (CIF):
```
data_TlVCo2
_cell_length_a 6.070
_cell_length_b 6.070
_cell_length_c 6.070
_cell_angle_alpha 90.00
_cell_angle_beta 90.00
_cell_angle_gamma 90.00
_space_group_name_H-M_alt 'F m -3 m'
_space_group_IT_number 225
_space_group_name_Hall '-F 4 2 3'
loop_
_atom_site_label
_atom_site_type_symbol
_atom_site_fract_x
_atom_site_fract_y
_atom_site_fract_z
_atom_site_occupancy
Tl1 Tl 0.000 0.000 0.000 1
V1 V 0.000 0.000 0.500 1
Co1 Co 0.250 0.250 0.250 1
```



Which is the most stable structure? x is the most stable.



w | TlV2Co2 after structural relaxation. Source: Alexandria via LeMat-Bulk, functional PBE.

- total magnetization (μB/atom) = 0.00
- D(E_F) (states/eV/f.u.) = 4.96

Structure (CIF):
```
data_TlV2Co2
_cell_length_a 7.268
_cell_length_b 7.268
_cell_length_c 2.738
_cell_angle_alpha 90.00
_cell_angle_beta 90.00
_cell_angle_gamma 90.00
_space_group_name_H-M_alt 'P 4/m b m'
_space_group_IT_number 127
_space_group_name_Hall '-P 4 2ab'
loop_
_atom_site_label
_atom_site_type_symbol
_atom_site_fract_x
_atom_site_fract_y
_atom_site_fract_z
_atom_site_occupancy
Tl1 Tl 0.000 0.000 0.000 1
V1 V 0.146 0.354 0.000 1
Co1 Co 0.134 0.634 0.500 1
```



x | TlV2Co2 after structural relaxation. Source: Alexandria via LeMat-Bulk, functional PBE.

- total magnetization (μB/atom) = 0.00
- D(E_F) (states/eV/f.u.) = 6.48

Structure (CIF):
```
data_TlV2Co2
_cell_length_a 3.693
_cell_length_b 3.693
_cell_length_c 11.094
_cell_angle_alpha 90.00
_cell_angle_beta 90.00
_cell_angle_gamma 90.00
_space_group_name_H-M_alt 'I 4/m m m'
_space_group_IT_number 139
_space_group_name_Hall '-I 4 2'
loop_
_atom_site_label
_atom_site_type_symbol
_atom_site_fract_x
_atom_site_fract_y
_atom_site_fract_z
_atom_site_occupancy
Tl1 Tl 0.000 0.000 0.000 1
V1 V 0.000 0.000 0.378 1
Co1 Co 0.000 0.500 0.250 1
```



y | TlV2Co2 after structural relaxation. Source: Alexandria via LeMat-Bulk, functional PBE.

- total magnetization (μB/atom) = 0.00
- D(E_F) (states/eV/f.u.) = 5.05

Structure (CIF):
```
data_TlV2Co2
_cell_length_a 7.057
_cell_length_b 7.057
_cell_length_c 2.795
_cell_angle_alpha 90.00
_cell_angle_beta 90.00
_cell_angle_gamma 90.00
_space_group_name_H-M_alt 'P 4/m b m'
_space_group_IT_number 127
_space_group_name_Hall '-P 4 2ab'
loop_
_atom_site_label
_atom_site_type_symbol
_atom_site_fract_x
_atom_site_fract_y
_atom_site_fract_z
_atom_site_occupancy
Tl1 Tl 0.000 0.000 0.000 1
V1 V 0.161 0.339 0.500 1
Co1 Co 0.126 0.626 0.000 1
```



Which is the most stable structure? y is the most stable.